{"formula": "BaUFe", "functional": "PBE-GGA", "state": "relaxed", "relative_energy_mev_per_atom": 0, "total_energy_ev_per_atom": -5.86, "m_tot_mub_per_fu": 1.76, "vol_a3_per_atom": 25.04, "rho_g_cm3": 9.53, "lattice_angstrom": [[6.698, 0.000, 0.000], [0.000, 6.698, 0.000], [0.000, 0.000, 6.698]], "species": ["Ba", "Ba", "Ba", "Ba", "U", "U", "U", "U", "Fe", "Fe", "Fe", "Fe"], "frac_coords": [[0.000, 0.000, 0.000], [0.000, 0.500, 0.500], [0.500, 0.000, 0.500], [0.500, 0.500, 0.000], [0.000, 0.000, 0.500], [0.000, 0.500, 0.000], [0.500, 0.000, 0.000], [0.500, 0.500, 0.500], [0.250, 0.250, 0.750], [0.250, 0.750, 0.250], [0.750, 0.250, 0.250], [0.750, 0.750, 0.750]]}